# Li2PmReO6 | Alexandria | GGA-PBE | optimized geometry
data_Li2PmReO6
_chemical_formula_sum 'Li4 Pm2 Re2 O12'
_cell_length_a 5.3817
_cell_length_b 5.6198
_cell_length_c 9.5643
_cell_angle_alpha 90.00
_cell_angle_beta 124.03
_cell_angle_gamma 90.00
_space_group_name_H-M_alt 'P 1 21/c 1'
_space_group_IT_number 14
loop_
_space_group_symop_operation_xyz
'x,y,z'
'-x,-y,-z'
'-x,y+1/2,-z+1/2'
'x,-y+1/2,z+1/2'
loop_
_atom_site_label
_atom_site_type_symbol
_atom_site_fract_x
_atom_site_fract_y
_atom_site_fract_z
_atom_site_occupancy
Li1 Li 0.2205 0.0113 0.2369 1
Pm1 Pm 0.0000 0.0000 0.5000 1
Re1 Re 0.5000 0.0000 0.0000 1
O1 O 0.1553 0.0772 0.7794 1
O2 O 0.2511 0.6445 0.5566 1
O3 O 0.4523 0.2054 0.5798 1
# Formation energy from raw total energies = -2.173 eV per atom
# Calculated total energy = -7.2506 eV per atom
# Total magnetic moment = 0.00 μB per formula unit